Record 1
Here is a relaxed La2AsIr crystal from Alexandria. Energies are from PBE-GGA.

The crystal system is orthorhombic. The calculation puts the density of states at the Fermi level at 7.0 states/eV/cell. The total energy comes out at -6.706 eV/atom.

It has space group Cmmm (No. 65), with a = 4.845 Å, b = 5.467 Å, c = 7.542 Å, α = 90.00°, β = 90.00° and γ = 90.00°. The asymmetric unit holds La at (0.000, 0.000, 0.236), As at (0.000, 0.500, 0.500) and Ir at (0.000, 0.500, 0.000).

=====

Record 2
Here is a relaxed Pm2TaSi4Ir3 crystal from Alexandria. Energies are from PBE-GGA.

The uncorrected formation energy is -875 meV/atom. The crystal system is tetragonal. The calculation puts the density of states at the Fermi level at 5.6 states/eV/cell.

It has space group P-4m2 (No. 115), with a = 4.143 Å, b = 4.143 Å, c = 10.447 Å, α = 90.00°, β = 90.00° and γ = 90.00°. The asymmetric unit holds Pm at (0.000, 0.500, 0.239), Ta at (0.000, 0.000, 0.500), Si at (0.000, 0.000, 0.000), Si at (0.000, 0.500, 0.648), Si at (0.500, 0.500, 0.000), Ir at (0.000, 0.500, 0.880) and Ir at (0.500, 0.500, 0.500).